No. 1
The following is a GGA-PBE calculation of a relaxed Mg4Cu2Se3 crystal, from Alexandria.

Cell lengths 15.207, 3.707, 7.581 Å; angles 90.00, 102.23, 90.00 degrees
Space group C2/m (No. 12)
Inequivalent atoms, fractional coordinates:
Mg 0.074 0.000 0.232 x4
Mg 0.236 0.000 0.683 x4
Cu 0.210 0.000 0.046 x4
Se 0.000 0.500 0.000 x2
Se 0.128 0.500 0.492 x4

Properties
energy	-58.92	eV for the cell shown

---

No. 2
The following is a GGA-PBE calculation of a relaxed MgCuSe2 crystal, from Alexandria.

Cell lengths 3.662, 16.369, 6.575 Å; angles 90.00, 90.00, 90.00 degrees
Space group Cmcm (No. 63)
Inequivalent atoms, fractional coordinates:
Mg 0.000 0.223 0.250 x4
Cu 0.000 0.135 0.750 x4
Se 0.000 0.361 0.003 x8

Properties
energy	-58.24	eV for the cell shown

---

No. 3
The following is a GGA-PBE calculation of a relaxed MgCu2Se crystal, from Alexandria.

Cell lengths 3.521, 3.498, 5.633 Å; angles 90.00, 106.93, 90.00 degrees
Space group Pm (No. 6)
Inequivalent atoms, fractional coordinates:
Mg 0.000 0.000 0.000 x1
Cu 0.236 0.000 0.476 x1
Cu 0.661 0.500 0.316 x1
Se 0.411 0.500 0.811 x1

Properties
energy	-14.01	eV for the cell shown
E above lowest polymorph	1.5	kJ/mol of atoms

---

No. 4
The following is a GGA-PBE calculation of a relaxed Mg2CuSe3 crystal, from Alexandria.

Cell lengths 3.872, 6.701, 18.797 Å; angles 90.00, 90.00, 90.00 degrees
Space group Cmcm (No. 63)
Inequivalent atoms, fractional coordinates:
Mg 0.000 0.169 0.085 x8
Cu 0.000 0.463 0.750 x4
Se 0.000 0.173 0.666 x8
Se 0.000 0.500 0.000 x4

Properties
energy	-87.35	eV for the cell shown
E above lowest polymorph	10.3	kJ/mol of atoms

---

No. 5
The following is a GGA-PBE calculation of a relaxed Mg8CuSe4 crystal, from Alexandria.

Cell lengths 13.157, 13.157, 3.896 Å; angles 90.00, 90.00, 90.00 degrees
Space group I4/m (No. 87)
Inequivalent atoms, fractional coordinates:
Mg 0.063 0.615 0.000 x8
Mg 0.181 0.816 0.500 x8
Cu 0.000 0.000 0.000 x2
Se 0.003 0.266 0.500 x8

Properties
energy	-69.85	eV for the cell shown
E above lowest polymorph	4.4	kJ/mol of atoms

---

No. 6
The following is a GGA-PBE calculation of a relaxed MgCuSe2 crystal, from Alexandria.

Cell lengths 3.670, 7.002, 7.239 Å; angles 90.00, 90.00, 90.00 degrees
Space group Immm (No. 71)
Inequivalent atoms, fractional coordinates:
Mg 0.000 0.000 0.000 x2
Cu 0.000 0.500 0.000 x2
Se 0.000 0.229 0.500 x4

Properties
energy	-28.00	eV for the cell shown

---

No. 7
The following is a GGA-PBE calculation of a relaxed MgCuSe2 crystal, from Alexandria.

Cell lengths 4.132, 4.132, 11.000 Å; angles 90.00, 90.00, 90.00 degrees
Space group P4/nmm (No. 129, origin choice 2)
Inequivalent atoms, fractional coordinates:
Mg 0.250 0.250 0.155 x2
Cu 0.250 0.250 0.602 x2
Se 0.250 0.250 0.378 x2
Se 0.250 0.750 0.000 x2

Properties
energy	-26.82	eV for the cell shown

---

No. 8
The following is a GGA-PBE calculation of a relaxed Mg3CuSe2 crystal, from Alexandria.

Cell lengths 7.705, 12.524, 5.620 Å; angles 90.00, 90.00, 90.00 degrees
Space group Cmcm (No. 63)
Inequivalent atoms, fractional coordinates:
Mg 0.000 0.099 0.250 x4
Mg 0.206 0.318 0.250 x8
Cu 0.000 0.291 0.750 x4
Se 0.244 0.500 0.000 x8

Properties
energy	-68.58	eV for the cell shown
E above lowest polymorph	42.5	kJ/mol of atoms

---

No. 9
The following is a GGA-PBE calculation of a relaxed MgCuSe crystal, from Alexandria.

Cell lengths 7.954, 3.751, 7.530 Å; angles 90.00, 90.00, 90.00 degrees
Space group Pnma (No. 62)
Inequivalent atoms, fractional coordinates:
Mg 0.083 0.250 0.213 x4
Cu 0.076 0.250 0.567 x4
Se 0.178 0.250 0.867 x4

Properties
energy	-41.79	eV for the cell shown
E above lowest polymorph	8.8	kJ/mol of atoms

---

No. 10
The following is a GGA-PBE calculation of a relaxed Mg2Cu2Se crystal, from Alexandria.

Cell lengths 3.996, 3.996, 11.550 Å; angles 90.00, 90.00, 90.00 degrees
Space group I4/mmm (No. 139)
Inequivalent atoms, fractional coordinates:
Mg 0.000 0.500 0.250 x4
Cu 0.000 0.000 0.102 x4
Se 0.000 0.000 0.500 x2

Properties
energy	-28.64	eV for the cell shown
E above lowest polymorph	42.7	kJ/mol of atoms

---

No. 11
The following is a GGA-PBE calculation of a relaxed Mg4Cu2Se crystal, from Alexandria.

Cell lengths 6.424, 6.424, 13.980 Å; angles 90.00, 90.00, 90.00 degrees
Space group I4/mcm (No. 140)
Inequivalent atoms, fractional coordinates:
Mg 0.170 0.330 0.134 x16
Cu 0.131 0.369 0.500 x8
Se 0.000 0.000 0.250 x4

Properties
energy	-76.37	eV for the cell shown
E above lowest polymorph	0.0	kJ/mol of atoms

---

No. 12
The following is a GGA-PBE calculation of a relaxed Mg2CuSe3 crystal, from Alexandria.

Cell lengths 7.0577, 7.0577, 9.6581 Å; angles 90.00, 90.00, 120.00 degrees
Space group R-3m (No. 166, hexagonal axes)
Inequivalent atoms, fractional coordinates:
Mg 0.0000 0.0000 0.1716 x6
Cu 0.0000 0.0000 0.5000 x3
Se 0.0000 0.5000 0.0000 x9

Properties
energy	-58.12	eV for the cell shown
E above lowest polymorph	49.9	kJ/mol of atoms

---

- What is the energy in the eighth record?
  -68.58 eV for the cell shown

---

Copy entry 4 word for word.
The following is a GGA-PBE calculation of a relaxed Mg2CuSe3 crystal, from Alexandria.

Cell lengths 3.872, 6.701, 18.797 Å; angles 90.00, 90.00, 90.00 degrees
Space group Cmcm (No. 63)
Inequivalent atoms, fractional coordinates:
Mg 0.000 0.169 0.085 x8
Cu 0.000 0.463 0.750 x4
Se 0.000 0.173 0.666 x8
Se 0.000 0.500 0.000 x4

Properties
energy	-87.35	eV for the cell shown
E above lowest polymorph	10.3	kJ/mol of atoms

---

What did the sixth record say?
The following is a GGA-PBE calculation of a relaxed MgCuSe2 crystal, from Alexandria.

Cell lengths 3.670, 7.002, 7.239 Å; angles 90.00, 90.00, 90.00 degrees
Space group Immm (No. 71)
Inequivalent atoms, fractional coordinates:
Mg 0.000 0.000 0.000 x2
Cu 0.000 0.500 0.000 x2
Se 0.000 0.229 0.500 x4

Properties
energy	-28.00	eV for the cell shown